1.
# GGA-PBE Sm2PbI, optimized geometry
# M_tot ... 0.00 μB per atom
# DOS at the Fermi energy ... 3.337 states/eV/f.u.
# Energy above the most stable polymorph in this dataset ... 0.034 eV/atom
# Calculated total energy ... -4.35 eV per atom
# Energy relative to the elements, uncorrected ... -0.6806 eV/atom
data_Sm2PbI
_chemical_formula_sum 'Sm2 Pb1 I1'
_cell_length_a 8.247
_cell_length_b 8.247
_cell_length_c 8.247
_cell_angle_alpha 31.49
_cell_angle_beta 31.49
_cell_angle_gamma 31.49
_symmetry_space_group_name_H-M 'P 1'
_symmetry_Int_Tables_number 1
loop_
_symmetry_equiv_pos_as_xyz
'x,y,z'
loop_
_atom_site_label
_atom_site_type_symbol
_atom_site_fract_x
_atom_site_fract_y
_atom_site_fract_z
Sm1 Sm 0.000 0.000 0.000
Sm2 Sm 0.189 0.189 0.189
Pb1 Pb 0.596 0.596 0.596
I1 I 0.426 0.426 0.426

2.
# GGA-PBE Sm7PbI12, optimized geometry
# M_tot ... 0.00 μB per atom
# DOS at the Fermi energy ... 10.367 states/eV/f.u.
# Calculated total energy ... -3.97 eV per atom
# Energy relative to the elements, uncorrected ... -1.2031 eV/atom
data_Sm7PbI12
_chemical_formula_sum 'Sm7 Pb1 I12'
_cell_length_a 9.981
_cell_length_b 9.981
_cell_length_c 9.981
_cell_angle_alpha 108.20
_cell_angle_beta 108.20
_cell_angle_gamma 108.20
_symmetry_space_group_name_H-M 'P 1'
_symmetry_Int_Tables_number 1
loop_
_symmetry_equiv_pos_as_xyz
'x,y,z'
loop_
_atom_site_label
_atom_site_type_symbol
_atom_site_fract_x
_atom_site_fract_y
_atom_site_fract_z
Sm1 Sm 0.000 0.000 0.000
Sm2 Sm 0.165 0.456 0.386
Sm3 Sm 0.386 0.165 0.456
Sm4 Sm 0.456 0.386 0.165
Sm5 Sm 0.544 0.614 0.835
Sm6 Sm 0.614 0.835 0.544
Sm7 Sm 0.835 0.544 0.614
Pb1 Pb 0.500 0.500 0.500
I1 I 0.027 0.106 0.344
I2 I 0.106 0.344 0.027
I3 I 0.192 0.579 0.732
I4 I 0.268 0.808 0.421
I5 I 0.344 0.027 0.106
I6 I 0.421 0.268 0.808
I7 I 0.579 0.732 0.192
I8 I 0.656 0.973 0.894
I9 I 0.732 0.192 0.579
I10 I 0.808 0.421 0.268
I11 I 0.894 0.656 0.973
I12 I 0.973 0.894 0.656

3.
# GGA-PBE Sm4Pb2I3, optimized geometry
# M_tot ... 0.00 μB per atom
# DOS at the Fermi energy ... 3.510 states/eV/f.u.
# Calculated total energy ... -4.34 eV per atom
# Energy relative to the elements, uncorrected ... -0.9010 eV/atom
data_Sm4Pb2I3
_chemical_formula_sum 'Sm4 Pb2 I3'
_cell_length_a 4.534
_cell_length_b 4.534
_cell_length_c 18.682
_cell_angle_alpha 90.03
_cell_angle_beta 90.03
_cell_angle_gamma 60.00
_symmetry_space_group_name_H-M 'P 1'
_symmetry_Int_Tables_number 1
loop_
_symmetry_equiv_pos_as_xyz
'x,y,z'
loop_
_atom_site_label
_atom_site_type_symbol
_atom_site_fract_x
_atom_site_fract_y
_atom_site_fract_z
Sm1 Sm 0.000 0.000 0.208
Sm2 Sm 0.000 0.000 0.792
Sm3 Sm 0.334 0.334 0.610
Sm4 Sm 0.666 0.666 0.390
Pb1 Pb 0.333 0.333 0.301
Pb2 Pb 0.667 0.667 0.699
I1 I 0.000 0.000 0.500
I2 I 0.334 0.334 0.895
I3 I 0.666 0.666 0.105

4.
# GGA-PBE Sm2PbI, optimized geometry
# M_tot ... 0.00 μB per atom
# DOS at the Fermi energy ... 2.165 states/eV/f.u.
# Energy above the most stable polymorph in this dataset ... 0.261 eV/atom
# Calculated total energy ... -4.13 eV per atom
# Energy relative to the elements, uncorrected ... -0.4542 eV/atom
data_Sm2PbI
_chemical_formula_sum 'Sm2 Pb1 I1'
_cell_length_a 6.257
_cell_length_b 5.413
_cell_length_c 5.413
_cell_angle_alpha 59.70
_cell_angle_beta 90.00
_cell_angle_gamma 90.00
_symmetry_space_group_name_H-M 'P 1'
_symmetry_Int_Tables_number 1
loop_
_symmetry_equiv_pos_as_xyz
'x,y,z'
loop_
_atom_site_label
_atom_site_type_symbol
_atom_site_fract_x
_atom_site_fract_y
_atom_site_fract_z
Sm1 Sm 0.000 0.000 0.000
Sm2 Sm 0.500 0.333 0.333
Pb1 Pb 0.500 0.000 0.000
I1 I 0.000 0.332 0.332

5.
# GGA-PBE SmTlPbI6, optimized geometry
# M_tot ... 0.00 μB per atom
# DOS at the Fermi energy ... 0.000 states/eV/f.u.
# Calculated total energy ... -3.22 eV per atom
# Energy relative to the elements, uncorrected ... -0.9892 eV/atom
data_SmTlPbI6
_chemical_formula_sum 'Sm2 Tl2 Pb2 I12'
_cell_length_a 8.143
_cell_length_b 8.143
_cell_length_c 15.232
_cell_angle_alpha 90.00
_cell_angle_beta 90.00
_cell_angle_gamma 120.00
_symmetry_space_group_name_H-M 'P 1'
_symmetry_Int_Tables_number 1
loop_
_symmetry_equiv_pos_as_xyz
'x,y,z'
loop_
_atom_site_label
_atom_site_type_symbol
_atom_site_fract_x
_atom_site_fract_y
_atom_site_fract_z
Sm1 Sm 0.333 0.667 0.250
Sm2 Sm 0.667 0.333 0.750
Tl1 Tl 0.000 0.000 0.000
Tl2 Tl 0.000 0.000 0.500
Pb1 Pb 0.333 0.667 0.750
Pb2 Pb 0.667 0.333 0.250
I1 I 0.014 0.367 0.131
I2 I 0.014 0.646 0.369
I3 I 0.354 0.367 0.369
I4 I 0.354 0.986 0.131
I5 I 0.367 0.014 0.631
I6 I 0.367 0.354 0.869
I7 I 0.633 0.646 0.131
I8 I 0.633 0.986 0.369
I9 I 0.646 0.014 0.869
I10 I 0.646 0.633 0.631
I11 I 0.986 0.354 0.631
I12 I 0.986 0.633 0.869

6.
# GGA-PBE SmTlPb2I8, optimized geometry
# M_tot ... 0.00 μB per atom
# DOS at the Fermi energy ... 0.000 states/eV/f.u.
# Calculated total energy ... -3.11 eV per atom
# Energy relative to the elements, uncorrected ... -0.8655 eV/atom
data_SmTlPb2I8
_chemical_formula_sum 'Sm1 Tl1 Pb2 I8'
_cell_length_a 7.375
_cell_length_b 9.721
_cell_length_c 7.868
_cell_angle_alpha 90.00
_cell_angle_beta 90.79
_cell_angle_gamma 90.00
_symmetry_space_group_name_H-M 'P 1'
_symmetry_Int_Tables_number 1
loop_
_symmetry_equiv_pos_as_xyz
'x,y,z'
loop_
_atom_site_label
_atom_site_type_symbol
_atom_site_fract_x
_atom_site_fract_y
_atom_site_fract_z
Sm1 Sm 0.000 0.000 0.000
Tl1 Tl 0.000 0.500 0.000
Pb1 Pb 0.500 0.252 0.500
Pb2 Pb 0.500 0.748 0.500
I1 I 0.239 0.000 0.672
I2 I 0.248 0.225 0.154
I3 I 0.248 0.775 0.154
I4 I 0.265 0.500 0.639
I5 I 0.735 0.500 0.361
I6 I 0.752 0.225 0.846
I7 I 0.752 0.775 0.846
I8 I 0.761 0.000 0.328

7.
# GGA-PBE SnPbI4, optimized geometry
# M_tot ... 0.00 μB per atom
# DOS at the Fermi energy ... 0.000 states/eV/f.u.
# Calculated total energy ... -2.90 eV per atom
# Energy relative to the elements, uncorrected ... -0.5796 eV/atom
data_SnPbI4
_chemical_formula_sum 'Sn1 Pb1 I4'
_cell_length_a 8.832
_cell_length_b 8.832
_cell_length_c 7.997
_cell_angle_alpha 116.73
_cell_angle_beta 116.73
_cell_angle_gamma 30.27
_symmetry_space_group_name_H-M 'P 1'
_symmetry_Int_Tables_number 1
loop_
_symmetry_equiv_pos_as_xyz
'x,y,z'
loop_
_atom_site_label
_atom_site_type_symbol
_atom_site_fract_x
_atom_site_fract_y
_atom_site_fract_z
Sn1 Sn 0.000 0.000 0.000
Pb1 Pb 0.500 0.500 0.500
I1 I 0.124 0.124 0.451
I2 I 0.378 0.378 0.041
I3 I 0.622 0.622 0.959
I4 I 0.876 0.876 0.549

8.
# GGA-PBE Sn3Pb5I16, optimized geometry
# M_tot ... 0.00 μB per atom
# DOS at the Fermi energy ... 0.000 states/eV/f.u.
# Calculated total energy ... -2.89 eV per atom
# Energy relative to the elements, uncorrected ... -0.5848 eV/atom
data_Sn3Pb5I16
_chemical_formula_sum 'Sn3 Pb5 I16'
_cell_length_a 9.310
_cell_length_b 9.310
_cell_length_c 14.857
_cell_angle_alpha 90.14
_cell_angle_beta 90.14
_cell_angle_gamma 59.98
_symmetry_space_group_name_H-M 'P 1'
_symmetry_Int_Tables_number 1
loop_
_symmetry_equiv_pos_as_xyz
'x,y,z'
loop_
_atom_site_label
_atom_site_type_symbol
_atom_site_fract_x
_atom_site_fract_y
_atom_site_fract_z
Sn1 Sn 0.000 0.000 0.000
Sn2 Sn 0.169 0.664 0.499
Sn3 Sn 0.664 0.169 0.499
Pb1 Pb 0.000 0.496 0.000
Pb2 Pb 0.165 0.165 0.259
Pb3 Pb 0.496 0.000 0.000
Pb4 Pb 0.498 0.498 0.758
Pb5 Pb 0.665 0.665 0.499
I1 I 0.156 0.674 0.877
I2 I 0.163 0.163 0.874
I3 I 0.324 0.842 0.128
I4 I 0.327 0.327 0.130
I5 I 0.335 0.821 0.627
I6 I 0.337 0.337 0.625
I7 I 0.497 0.497 0.376
I8 I 0.511 0.997 0.375
I9 I 0.672 0.672 0.872
I10 I 0.674 0.156 0.877
I11 I 0.821 0.335 0.627
I12 I 0.834 0.834 0.122
I13 I 0.836 0.836 0.620
I14 I 0.842 0.324 0.128
I15 I 0.995 0.995 0.380
I16 I 0.997 0.511 0.375

The highest calculated total energy belongs to which entry? Sn3Pb5I16